No. 1
Below is a geometry-optimized FeSnSe2 structure, with properties calculated at the PBE level.

Geometry as POSCAR:
```
FeSnSe2
1.0
-3.100 3.100 5.946
3.100 -3.100 5.946
3.100 3.100 -5.946
Fe Sn Se
2 2 4
Direct
0.000 0.000 0.000 Fe
0.750 0.250 0.500 Fe
0.250 0.750 0.500 Sn
0.500 0.500 0.000 Sn
0.060 0.625 0.935 Se
0.375 0.310 0.435 Se
0.690 0.125 0.065 Se
0.875 0.940 0.565 Se
```

Summary:
density of states at the Fermi level	5.05	states/eV/f.u.
calculated volume	229	Å³ per cell
E_form (uncorrected)	-89	meV per atom
calculated total energy	-4.95	eV per atom
crystal system	tetragonal

=====

No. 2
Below is a geometry-optimized PrNd2Tm structure, with properties calculated at the PBE level.

Geometry as POSCAR:
```
PrNd2Tm
1.0
5.139 0.000 0.000
0.000 5.139 0.000
0.000 0.000 5.159
Pr Nd Tm
1 2 1
Direct
0.000 0.000 0.000 Pr
0.000 0.500 0.500 Nd
0.500 0.000 0.500 Nd
0.500 0.500 0.000 Tm
```

Summary:
density of states at the Fermi level	6.12	states/eV/f.u.
calculated volume	136	Å³ per cell
calculated total energy	-4.68	eV per atom
crystal system	tetragonal
formation energy from the elements	14	meV per atom

=====

No. 3
Below is a geometry-optimized TiMn2SnC structure, with properties calculated at the PBE level.

Geometry as POSCAR:
```
TiMn2SnC
1.0
3.923 0.000 0.000
0.000 3.923 0.000
0.000 0.000 4.322
Ti Mn Sn C
1 2 1 1
Direct
0.000 0.000 0.000 Ti
0.000 0.500 0.500 Mn
0.500 0.000 0.500 Mn
0.500 0.500 0.000 Sn
0.000 0.000 0.500 C
```

Summary:
density of states at the Fermi level	4.26	states/eV/f.u.
calculated volume	67	Å³ per cell
calculated total energy	-8.07	eV per atom
crystal system	tetragonal
formation energy from the elements	-180	meV per atom

=====

No. 4
Below is a geometry-optimized Pm4TmPb5 structure, with properties calculated at the PBE level.

Geometry as POSCAR:
```
Pm4TmPb5
1.0
3.572 0.000 0.000
0.000 3.572 0.000
0.000 0.000 22.864
Pm Tm Pb
4 1 5
Direct
0.000 0.000 0.101 Pm
0.000 0.000 0.303 Pm
0.000 0.000 0.697 Pm
0.000 0.000 0.899 Pm
0.000 0.000 0.500 Tm
0.500 0.500 0.000 Pb
0.500 0.500 0.202 Pb
0.500 0.500 0.405 Pb
0.500 0.500 0.595 Pb
0.500 0.500 0.798 Pb
```

Summary:
density of states at the Fermi level	8.20	states/eV/f.u.
calculated volume	292	Å³ per cell
calculated total energy	-4.68	eV per atom
crystal system	tetragonal
formation energy from the elements	-480	meV per atom

=====

No. 5
Below is a geometry-optimized TbTl2Cu structure, with properties calculated at the PBE level.

Geometry as POSCAR:
```
TbTl2Cu
1.0
4.681 0.000 0.000
0.000 4.681 0.000
0.000 0.000 4.314
Tb Tl Cu
1 2 1
Direct
0.000 0.000 0.000 Tb
0.000 0.500 0.500 Tl
0.500 0.000 0.500 Tl
0.500 0.500 0.000 Cu
```

Summary:
density of states at the Fermi level	1.51	states/eV/f.u.
calculated volume	95	Å³ per cell
calculated total energy	-3.44	eV per atom
crystal system	tetragonal
formation energy from the elements	-78	meV per atom

=====

No. 6
Below is a geometry-optimized LaBi3Mo structure, with properties calculated at the PBE level.

Geometry as POSCAR:
```
LaBi3Mo
1.0
6.097 0.000 0.000
0.000 6.097 0.000
0.000 0.000 6.097
La Bi Mo
1 3 1
Direct
0.000 0.000 0.000 La
0.000 0.000 0.500 Bi
0.000 0.500 0.000 Bi
0.500 0.000 0.000 Bi
0.500 0.500 0.500 Mo
```

Summary:
density of states at the Fermi level	4.34	states/eV/f.u.
calculated volume	227	Å³ per cell
calculated total energy	-4.17	eV per atom
crystal system	cubic
formation energy from the elements	1308	meV per atom